First-principles (PBE) data for a geometry-optimized B3WN structure, as listed in Alexandria via LeMat-Bulk.

a b c (Å): 4.2396 4.2396 4.2396
angles (deg): 90.00 90.00 90.00
Site moments in Bohr magnetons follow the coordinates.
Fractional positions:
B: 0.0000 0.5000 0.0000  0.01
B: 0.0000 0.0000 0.5000  -0.02
B: 0.5000 0.0000 0.0000  0.03
W: 0.0000 0.0000 0.0000  0.21
N: 0.5000 0.5000 0.5000  1.69

Properties
The density of states at the Fermi level is 2.74 states/eV per cell. The energy above the lowest structure with this stoichiometry is 523 kJ/mol of formula units. As for the calculated total energy: -0.211 Ha/atom. The crystal system is cubic. The calculation puts the formation energy (no corrections) at 2530 meV/atom.